# Pr3Y7Sc | the Alexandria database | GGA-PBE | optimized geometry
data_Pr3Y7Sc
_chemical_formula_sum 'Pr6 Y14 Sc2'
_cell_length_a 11.571
_cell_length_b 10.244
_cell_length_c 6.387
_cell_angle_alpha 90.00
_cell_angle_beta 93.24
_cell_angle_gamma 90.00
_space_group_name_H-M_alt 'C 1 2/m 1'
_space_group_IT_number 12
loop_
_space_group_symop_operation_xyz
'x,y,z'
'-x,-y,-z'
'-x,y,-z'
'x,-y,z'
'x+1/2,y+1/2,z'
'-x+1/2,-y+1/2,-z'
'-x+1/2,y+1/2,-z'
'x+1/2,-y+1/2,z'
loop_
_atom_site_label
_atom_site_fract_x
_atom_site_fract_y
_atom_site_fract_z
Pr1 0.000 0.000 0.000
Pr2 0.000 0.173 0.500
Y1 0.000 0.500 0.500
Y2 0.234 0.333 0.767
Y3 0.244 0.000 0.714
Sc1 0.000 0.500 0.000
# Mass density (g/cm³): 4.79
# Magnetic moment (μB per cell): 0.000
# Volume (Å³/f.u.): 377.9
# VASP energy (hartree per atom): -0.21081
# E above lowest polymorph (eV/atom): 0.0757
# Formation energy from the elements (meV/atom): 256.2